A relaxed NiSbOsO crystal. Source: Alexandria, functional GGA+U.

Cell and atoms, written as POSCAR:
```
NiSbOsO
1.0
3.9017 0.0000 0.0000
0.0000 3.7784 0.0000
0.0000 0.0000 9.5729
Ni Sb Os O
2 2 2 2
Direct
0.0000 0.0000 0.0000 Ni
0.0000 0.5000 0.5000 Ni
0.5000 0.0000 0.5326 Sb
0.5000 0.5000 0.0326 Sb
0.0000 0.0000 0.7241 Os
0.0000 0.5000 0.2241 Os
0.0000 0.0000 0.2374 O
0.0000 0.5000 0.7374 O
```

The density of states at the Fermi level is 2.51 states/eV/f.u. The electronic total energy is -44.0 eV per cell. The symmetry is Amm2, No. 38.